Record 1
The following is a PBE calculation of ZnCrTc2H after structural relaxation, from Alexandria via LeMat-Bulk.

```
data_ZnCrTc2H
_cell_length_a 3.910
_cell_length_b 3.910
_cell_length_c 3.794
_cell_angle_alpha 90.00
_cell_angle_beta 90.00
_cell_angle_gamma 90.00
_symmetry_space_group_name_H-M 'P 1'
_symmetry_Int_Tables_number 1
_symmetry_space_group_name_Hall 'P 1'
loop_
_atom_site_label
_atom_site_fract_x
_atom_site_fract_y
_atom_site_fract_z
Zn1 0.000 0.000 0.000
Cr1 0.500 0.500 0.000
Tc1 0.000 0.500 0.500
Tc2 0.500 0.000 0.500
H1 0.500 0.500 0.500
```

Calculated values
Total DFT energy (no corrections): -34.15 eV/cell
DOS at the Fermi energy: 4.295 states/eV/cell
Total magnetization: 0.83 μB per formula unit

Record 2
The following is a PBE calculation of Zr2CrTcH after structural relaxation, from Alexandria via LeMat-Bulk.

```
data_Zr2CrTcH
_cell_length_a 4.677
_cell_length_b 4.677
_cell_length_c 3.429
_cell_angle_alpha 90.00
_cell_angle_beta 90.00
_cell_angle_gamma 90.00
_symmetry_space_group_name_H-M 'P 1'
_symmetry_Int_Tables_number 1
_symmetry_space_group_name_Hall 'P 1'
loop_
_atom_site_label
_atom_site_fract_x
_atom_site_fract_y
_atom_site_fract_z
Zr1 0.000 0.500 0.000
Zr2 0.500 0.000 0.000
Cr1 0.000 0.000 0.500
Tc1 0.500 0.500 0.500
H1 0.500 0.500 0.000
```

Calculated values
ΔE to the lowest computed polymorph: 0.316 eV/f.u.
DOS at the Fermi energy: 4.405 states/eV/cell
Total magnetization: 1.88 μB per formula unit